Entry 1:
## Tb2ErP3 (PBE)

Data for an optimized crystal structure of Tb2ErP3.

abc: 4.0087 4.0087 9.8060
angles: 90.00 90.00 120.00
Space group P-3m1 (No. 164)
Unique sites:
Tb 0.3333 0.6667 0.3321 [2 per cell]
Er 0.0000 0.0000 0.0000 [1 per cell]
P 0.0000 0.0000 0.5000 [1 per cell]
P 0.3333 0.6667 0.8363 [2 per cell]

Calculated values
crystal system: trigonal
energy: -6.6204 eV/atom
mass density: 7.03 g cm⁻³

=====

Entry 2:
## SmZr2 (PBE)

Data for an optimized crystal structure of SmZr2.

abc: 10.470 5.698 5.309
angles: 90.00 90.00 90.00
Space group Cmcm (No. 63)
Unique sites:
Sm 0.000 0.193 0.250 [4 per cell]
Zr 0.184 0.341 0.750 [8 per cell]

Calculated values
crystal system: orthorhombic
formation enthalpy at 0 K: 25 kJ/mol of formula units
relative energy among the computed polymorphs: 0.04 eV/f.u.
mass density: 6.98 g cm⁻³

=====

Entry 3:
## HfBeZnCo (PBE)

Data for an optimized crystal structure of HfBeZnCo.

abc: 5.976 5.976 5.976
angles: 90.00 90.00 90.00
Space group F-43m (No. 216)
Unique sites:
Hf 0.000 0.000 0.000 [4 per cell]
Be 0.250 0.250 0.250 [4 per cell]
Zn 0.000 0.000 0.500 [4 per cell]
Co 0.250 0.250 0.750 [4 per cell]

Calculated values
crystal system: cubic
relative energy among the computed polymorphs: 0.00 eV/f.u.
mass density: 9.70 g cm⁻³

=====

Entry 4:
## SmTlPb (PBE)

Data for an optimized crystal structure of SmTlPb.

abc: 7.373 7.373 7.373
angles: 90.00 90.00 90.00
Space group F-43m (No. 216)
Unique sites:
Sm 0.000 0.000 0.000 [4 per cell]
Tl 0.250 0.250 0.250 [4 per cell]
Pb 0.250 0.250 0.750 [4 per cell]

Calculated values
crystal system: cubic
relative energy among the computed polymorphs: 0.00 eV/f.u.
mass density: 9.31 g cm⁻³

=====

Question: Among the records above, which one has the highest mass density?
Answer: HfBeZnCo

=====

Question: Which value of mass density does entry 2 give?
Answer: 6.98 g cm⁻³